DyHoCo2Ge4: optimized geometry, PBE.

Lattice parameters (Å, degrees): 4.143 8.536 8.536 27.98 90.00 90.00
Sites, in units of the cell vectors:
Dy 0.000 0.000 0.000
Ho 0.500 0.219 0.219
Co 0.000 0.790 0.790
Co 0.500 0.429 0.429
Ge 0.000 0.360 0.360
Ge 0.000 0.654 0.654
Ge 0.500 0.564 0.564
Ge 0.500 0.858 0.858

## Properties
SG: Amm2 (38)
Raw total energy in hartree per atom: -0.216
Calculated volume in Å³/cell: 142